# PBE FeNiCl2, relaxed
data_FeNiCl2
_chemical_formula_sum 'Fe3 Ni3 Cl6'
_space_group_name_H-M_alt 'R -3 m'
_space_group_IT_number 166
_space_group_name_Hall '-R 3 2"'
_cell_length_a 3.3796
_cell_length_b 3.3796
_cell_length_c 21.6843
_cell_angle_alpha 90.00
_cell_angle_beta 90.00
_cell_angle_gamma 120.00
loop_
_atom_site_label
_atom_site_fract_x
_atom_site_fract_y
_atom_site_fract_z
_atom_site_occupancy
Fe1 0.0000 0.0000 0.0000 1
Ni1 0.0000 0.0000 0.5000 1
Cl1 0.0000 0.0000 0.1014 1
# Polymorph energy (0 for the lowest one) = 1.336 eV per formula unit
# Raw formation energy = 38 kJ/mol of formula units
# Energy = -17.54 eV/f.u.


# PBE FeNi2Cl, relaxed
data_FeNi2Cl
_chemical_formula_sum 'Fe1 Ni2 Cl1'
_space_group_name_H-M_alt 'P 4 m m'
_space_group_IT_number 99
_cell_length_a 2.995
_cell_length_b 2.995
_cell_length_c 6.150
_cell_angle_alpha 90.00
_cell_angle_beta 90.00
_cell_angle_gamma 90.00
loop_
_space_group_symop_operation_xyz
'x,y,z'
'-y,x,z'
'-x,-y,z'
'y,-x,z'
'-x,y,z'
'y,x,z'
'x,-y,z'
'-y,-x,z'
loop_
_atom_site_label
_atom_site_fract_x
_atom_site_fract_y
_atom_site_fract_z
_atom_site_occupancy
Fe1 0.000 0.000 0.000 1
Ni1 0.000 0.000 0.403 1
Ni2 0.500 0.500 0.196 1
Cl1 0.500 0.500 0.708 1
# Polymorph energy (0 for the lowest one) = 0.651 eV per formula unit
# Raw formation energy = 104 kJ/mol of formula units
# Energy = -20.80 eV/f.u.


# PBE FeNi2Cl2, relaxed
data_FeNi2Cl2
_chemical_formula_sum 'Fe2 Ni4 Cl4'
_space_group_name_H-M_alt 'P 4/m b m'
_space_group_IT_number 127
_space_group_name_Hall '-P 4 2ab'
_cell_length_a 6.336
_cell_length_b 6.336
_cell_length_c 4.074
_cell_angle_alpha 90.00
_cell_angle_beta 90.00
_cell_angle_gamma 90.00
loop_
_atom_site_label
_atom_site_fract_x
_atom_site_fract_y
_atom_site_fract_z
_atom_site_occupancy
Fe1 0.000 0.000 0.000 1
Ni1 0.239 0.261 0.500 1
Cl1 0.169 0.331 0.000 1
# Polymorph energy (0 for the lowest one) = 0.000 eV per formula unit
# Raw formation energy = 149 kJ/mol of formula units
# Energy = -22.18 eV/f.u.


# PBE FeNiCl5, relaxed
data_FeNiCl5
_chemical_formula_sum 'Fe2 Ni2 Cl10'
_space_group_name_H-M_alt 'P -1'
_space_group_IT_number 2
_cell_length_a 6.757
_cell_length_b 6.803
_cell_length_c 8.678
_cell_angle_alpha 103.36
_cell_angle_beta 102.86
_cell_angle_gamma 107.92
loop_
_space_group_symop_operation_xyz
'x,y,z'
'-x,-y,-z'
loop_
_atom_site_label
_atom_site_fract_x
_atom_site_fract_y
_atom_site_fract_z
_atom_site_occupancy
Fe1 0.197 0.304 0.250 1
Ni1 0.500 0.000 0.000 1
Ni2 0.500 0.000 0.500 1
Cl1 0.115 0.772 0.948 1
Cl2 0.178 0.053 0.373 1
Cl3 0.268 0.619 0.440 1
Cl4 0.417 0.079 0.746 1
Cl5 0.457 0.330 0.127 1
# Raw formation energy = -424 kJ/mol of formula units
# Energy = -27.87 eV/f.u.


# PBE FeNiCl2, relaxed
data_FeNiCl2
_chemical_formula_sum 'Fe2 Ni2 Cl4'
_space_group_name_H-M_alt 'I -4 m 2'
_space_group_IT_number 119
_space_group_name_Hall 'I -4 -2'
_cell_length_a 3.375
_cell_length_b 3.375
_cell_length_c 11.905
_cell_angle_alpha 90.00
_cell_angle_beta 90.00
_cell_angle_gamma 90.00
loop_
_atom_site_label
_atom_site_fract_x
_atom_site_fract_y
_atom_site_fract_z
_atom_site_occupancy
Fe1 0.000 0.000 0.000 1
Ni1 0.000 0.500 0.750 1
Cl1 0.000 0.000 0.500 1
Cl2 0.000 0.500 0.250 1
# Polymorph energy (0 for the lowest one) = 1.860 eV per formula unit
# Raw formation energy = 88 kJ/mol of formula units
# Energy = -17.02 eV/f.u.


# PBE FeNiCl2, relaxed
data_FeNiCl2
_chemical_formula_sum 'Fe1 Ni1 Cl2'
_space_group_name_H-M_alt 'P 4 m m'
_space_group_IT_number 99
_cell_length_a 3.191
_cell_length_b 3.191
_cell_length_c 7.119
_cell_angle_alpha 90.00
_cell_angle_beta 90.00
_cell_angle_gamma 90.00
loop_
_space_group_symop_operation_xyz
'x,y,z'
'-y,x,z'
'-x,-y,z'
'y,-x,z'
'-x,y,z'
'y,x,z'
'x,-y,z'
'-y,-x,z'
loop_
_atom_site_label
_atom_site_fract_x
_atom_site_fract_y
_atom_site_fract_z
_atom_site_occupancy
Fe1 0.000 0.000 0.000 1
Ni1 0.500 0.500 0.160 1
Cl1 0.000 0.000 0.328 1
Cl2 0.500 0.500 0.795 1
# Polymorph energy (0 for the lowest one) = 0.594 eV per formula unit
# Raw formation energy = -34 kJ/mol of formula units
# Energy = -18.29 eV/f.u.


# PBE FeNiCl2, relaxed
data_FeNiCl2
_chemical_formula_sum 'Fe2 Ni2 Cl4'
_space_group_name_H-M_alt 'I m m 2'
_space_group_IT_number 44
_cell_length_a 3.216
_cell_length_b 3.463
_cell_length_c 13.861
_cell_angle_alpha 90.00
_cell_angle_beta 90.00
_cell_angle_gamma 90.00
loop_
_space_group_symop_operation_xyz
'x,y,z'
'-x,-y,z'
'-x,y,z'
'x,-y,z'
'x+1/2,y+1/2,z+1/2'
'-x+1/2,-y+1/2,z+1/2'
'-x+1/2,y+1/2,z+1/2'
'x+1/2,-y+1/2,z+1/2'
loop_
_atom_site_label
_atom_site_fract_x
_atom_site_fract_y
_atom_site_fract_z
_atom_site_occupancy
Fe1 0.000 0.000 0.000 1
Ni1 0.000 0.500 0.628 1
Cl1 0.000 0.000 0.423 1
Cl2 0.000 0.500 0.161 1
# Polymorph energy (0 for the lowest one) = 0.913 eV per formula unit
# Raw formation energy = -3 kJ/mol of formula units
# Energy = -17.97 eV/f.u.


# PBE Fe3NiCl, relaxed
data_Fe3NiCl
_chemical_formula_sum 'Fe3 Ni1 Cl1'
_space_group_name_H-M_alt 'P m -3 m'
_space_group_IT_number 221
_space_group_name_Hall '-P 4 2 3'
_cell_length_a 4.450
_cell_length_b 4.450
_cell_length_c 4.450
_cell_angle_alpha 90.00
_cell_angle_beta 90.00
_cell_angle_gamma 90.00
loop_
_atom_site_label
_atom_site_fract_x
_atom_site_fract_y
_atom_site_fract_z
_atom_site_occupancy
Fe1 0.000 0.000 0.500 1
Ni1 0.000 0.000 0.000 1
Cl1 0.500 0.500 0.500 1
# Polymorph energy (0 for the lowest one) = 0.490 eV per formula unit
# Raw formation energy = 459 kJ/mol of formula units
# Energy = -28.26 eV/f.u.


# PBE FeNi2Cl, relaxed
data_FeNi2Cl
_chemical_formula_sum 'Fe1 Ni2 Cl1'
_space_group_name_H-M_alt 'P 1 m 1'
_space_group_IT_number 6
_cell_length_a 3.170
_cell_length_b 2.899
_cell_length_c 6.341
_cell_angle_alpha 90.00
_cell_angle_beta 90.27
_cell_angle_gamma 90.00
loop_
_space_group_symop_operation_xyz
'x,y,z'
'x,-y,z'
loop_
_atom_site_label
_atom_site_fract_x
_atom_site_fract_y
_atom_site_fract_z
_atom_site_occupancy
Fe1 0.000 0.000 0.000 1
Ni1 0.005 0.000 0.383 1
Ni2 0.502 0.500 0.184 1
Cl1 0.985 0.500 0.693 1
# Polymorph energy (0 for the lowest one) = 0.145 eV per formula unit
# Raw formation energy = 55 kJ/mol of formula units
# Energy = -21.30 eV/f.u.


# PBE FeNi2Cl, relaxed
data_FeNi2Cl
_chemical_formula_sum 'Fe2 Ni4 Cl2'
_space_group_name_H-M_alt 'I m m 2'
_space_group_IT_number 44
_cell_length_a 2.824
_cell_length_b 3.669
_cell_length_c 11.569
_cell_angle_alpha 90.00
_cell_angle_beta 90.00
_cell_angle_gamma 90.00
loop_
_space_group_symop_operation_xyz
'x,y,z'
'-x,-y,z'
'-x,y,z'
'x,-y,z'
'x+1/2,y+1/2,z+1/2'
'-x+1/2,-y+1/2,z+1/2'
'-x+1/2,y+1/2,z+1/2'
'x+1/2,-y+1/2,z+1/2'
loop_
_atom_site_label
_atom_site_fract_x
_atom_site_fract_y
_atom_site_fract_z
_atom_site_occupancy
Fe1 0.000 0.000 0.000 1
Ni1 0.000 0.000 0.566 1
Ni2 0.000 0.500 0.688 1
Cl1 0.000 0.500 0.329 1
# Polymorph energy (0 for the lowest one) = 0.821 eV per formula unit
# Raw formation energy = 120 kJ/mol of formula units
# Energy = -20.63 eV/f.u.


# PBE FeNiCl2, relaxed
data_FeNiCl2
_chemical_formula_sum 'Fe2 Ni2 Cl4'
_space_group_name_H-M_alt 'C 1 2/m 1'
_space_group_IT_number 12
_cell_length_a 13.226
_cell_length_b 3.307
_cell_length_c 3.935
_cell_angle_alpha 90.00
_cell_angle_beta 94.94
_cell_angle_gamma 90.00
loop_
_space_group_symop_operation_xyz
'x,y,z'
'-x,-y,-z'
'-x,y,-z'
'x,-y,z'
'x+1/2,y+1/2,z'
'-x+1/2,-y+1/2,-z'
'-x+1/2,y+1/2,-z'
'x+1/2,-y+1/2,z'
loop_
_atom_site_label
_atom_site_fract_x
_atom_site_fract_y
_atom_site_fract_z
_atom_site_occupancy
Fe1 0.000 0.000 0.000 1
Ni1 0.000 0.500 0.500 1
Cl1 0.130 0.500 0.204 1
# Polymorph energy (0 for the lowest one) = 0.001 eV per formula unit
# Raw formation energy = -91 kJ/mol of formula units
# Energy = -18.88 eV/f.u.


# PBE FeNi2Cl, relaxed
data_FeNi2Cl
_chemical_formula_sum 'Fe1 Ni2 Cl1'
_space_group_name_H-M_alt 'P 4/m m m'
_space_group_IT_number 123
_space_group_name_Hall '-P 4 2'
_cell_length_a 4.306
_cell_length_b 4.306
_cell_length_c 2.813
_cell_angle_alpha 90.00
_cell_angle_beta 90.00
_cell_angle_gamma 90.00
loop_
_atom_site_label
_atom_site_fract_x
_atom_site_fract_y
_atom_site_fract_z
_atom_site_occupancy
Fe1 0.000 0.000 0.000 1
Ni1 0.000 0.500 0.500 1
Cl1 0.500 0.500 0.000 1
# Polymorph energy (0 for the lowest one) = 1.863 eV per formula unit
# Raw formation energy = 221 kJ/mol of formula units
# Energy = -19.58 eV/f.u.


# PBE FeNiCl2, relaxed
data_FeNiCl2
_chemical_formula_sum 'Fe1 Ni1 Cl2'
_space_group_name_H-M_alt 'P m m m'
_space_group_IT_number 47
_cell_length_a 3.077
_cell_length_b 3.687
_cell_length_c 5.909
_cell_angle_alpha 90.00
_cell_angle_beta 90.00
_cell_angle_gamma 90.00
loop_
_space_group_symop_operation_xyz
'x,y,z'
'-x,-y,-z'
'-x,-y,z'
'x,y,-z'
'x,-y,-z'
'-x,y,z'
'-x,y,-z'
'x,-y,z'
loop_
_atom_site_label
_atom_site_fract_x
_atom_site_fract_y
_atom_site_fract_z
_atom_site_occupancy
Fe1 0.000 0.000 0.000 1
Ni1 0.500 0.000 0.500 1
Cl1 0.000 0.500 0.500 1
Cl2 0.500 0.500 0.000 1
# Polymorph energy (0 for the lowest one) = 1.764 eV per formula unit
# Raw formation energy = 79 kJ/mol of formula units
# Energy = -17.12 eV/f.u.


# PBE FeNi2Cl, relaxed
data_FeNi2Cl
_chemical_formula_sum 'Fe4 Ni8 Cl4'
_space_group_name_H-M_alt 'F m -3 m'
_space_group_IT_number 225
_space_group_name_Hall '-F 4 2 3'
_cell_length_a 5.949
_cell_length_b 5.949
_cell_length_c 5.949
_cell_angle_alpha 90.00
_cell_angle_beta 90.00
_cell_angle_gamma 90.00
loop_
_atom_site_label
_atom_site_fract_x
_atom_site_fract_y
_atom_site_fract_z
_atom_site_occupancy
Fe1 0.000 0.000 0.000 1
Ni1 0.250 0.250 0.250 1
Cl1 0.000 0.000 0.500 1
# Polymorph energy (0 for the lowest one) = 2.038 eV per formula unit
# Raw formation energy = 238 kJ/mol of formula units
# Energy = -19.41 eV/f.u.


# PBE Fe4NiCl, relaxed
data_Fe4NiCl
_chemical_formula_sum 'Fe16 Ni4 Cl4'
_space_group_name_H-M_alt 'F -4 3 m'
_space_group_IT_number 216
_space_group_name_Hall 'F -4 2 3'
_cell_length_a 6.919
_cell_length_b 6.919
_cell_length_c 6.919
_cell_angle_alpha 90.00
_cell_angle_beta 90.00
_cell_angle_gamma 90.00
loop_
_atom_site_label
_atom_site_fract_x
_atom_site_fract_y
_atom_site_fract_z
_atom_site_occupancy
Fe1 0.124 0.124 0.376 1
Ni1 0.250 0.250 0.750 1
Cl1 0.000 0.000 0.000 1
# Raw formation energy = 372 kJ/mol of formula units
# Energy = -37.63 eV/f.u.


# PBE FeNi2Cl, relaxed
data_FeNi2Cl
_chemical_formula_sum 'Fe4 Ni8 Cl4'
_space_group_name_H-M_alt 'I -4 2 d'
_space_group_IT_number 122
_space_group_name_Hall 'I -4 2bw'
_cell_length_a 6.529
_cell_length_b 6.529
_cell_length_c 4.982
_cell_angle_alpha 90.00
_cell_angle_beta 90.00
_cell_angle_gamma 90.00
loop_
_atom_site_label
_atom_site_fract_x
_atom_site_fract_y
_atom_site_fract_z
_atom_site_occupancy
Fe1 0.000 0.000 0.000 1
Ni1 0.235 0.250 0.625 1
Cl1 0.000 0.000 0.500 1
# Polymorph energy (0 for the lowest one) = 1.638 eV per formula unit
# Raw formation energy = 199 kJ/mol of formula units
# Energy = -19.81 eV/f.u.


# PBE FeNi2Cl, relaxed
data_FeNi2Cl
_chemical_formula_sum 'Fe2 Ni4 Cl2'
_space_group_name_H-M_alt 'C 1 2/m 1'
_space_group_IT_number 12
_cell_length_a 5.092
_cell_length_b 8.654
_cell_length_c 2.773
_cell_angle_alpha 90.00
_cell_angle_beta 121.86
_cell_angle_gamma 90.00
loop_
_space_group_symop_operation_xyz
'x,y,z'
'-x,-y,-z'
'-x,y,-z'
'x,-y,z'
'x+1/2,y+1/2,z'
'-x+1/2,-y+1/2,-z'
'-x+1/2,y+1/2,-z'
'x+1/2,-y+1/2,z'
loop_
_atom_site_label
_atom_site_fract_x
_atom_site_fract_y
_atom_site_fract_z
_atom_site_occupancy
Fe1 0.000 0.000 0.000 1
Ni1 0.250 0.250 0.500 1
Cl1 0.000 0.500 0.000 1
# Polymorph energy (0 for the lowest one) = 1.595 eV per formula unit
# Raw formation energy = 195 kJ/mol of formula units
# Energy = -19.85 eV/f.u.


# PBE FeNi2Cl, relaxed
data_FeNi2Cl
_chemical_formula_sum 'Fe4 Ni8 Cl4'
_space_group_name_H-M_alt 'F -4 3 m'
_space_group_IT_number 216
_space_group_name_Hall 'F -4 2 3'
_cell_length_a 5.894
_cell_length_b 5.894
_cell_length_c 5.894
_cell_angle_alpha 90.00
_cell_angle_beta 90.00
_cell_angle_gamma 90.00
loop_
_atom_site_label
_atom_site_fract_x
_atom_site_fract_y
_atom_site_fract_z
_atom_site_occupancy
Fe1 0.000 0.000 0.000 1
Ni1 0.000 0.000 0.500 1
Ni2 0.250 0.250 0.750 1
Cl1 0.250 0.250 0.250 1
# Polymorph energy (0 for the lowest one) = 1.881 eV per formula unit
# Raw formation energy = 222 kJ/mol of formula units
# Energy = -19.57 eV/f.u.


# PBE FeNi2Cl2, relaxed
data_FeNi2Cl2
_chemical_formula_sum 'Fe2 Ni4 Cl4'
_space_group_name_H-M_alt 'I 4/m m m'
_space_group_IT_number 139
_space_group_name_Hall '-I 4 2'
_cell_length_a 3.147
_cell_length_b 3.147
_cell_length_c 19.440
_cell_angle_alpha 90.00
_cell_angle_beta 90.00
_cell_angle_gamma 90.00
loop_
_atom_site_label
_atom_site_fract_x
_atom_site_fract_y
_atom_site_fract_z
_atom_site_occupancy
Fe1 0.000 0.000 0.000 1
Ni1 0.000 0.500 0.250 1
Cl1 0.000 0.000 0.423 1
# Polymorph energy (0 for the lowest one) = 0.607 eV per formula unit
# Raw formation energy = 207 kJ/mol of formula units
# Energy = -21.57 eV/f.u.


# PBE FeNi2Cl, relaxed
data_FeNi2Cl
_chemical_formula_sum 'Fe3 Ni6 Cl3'
_space_group_name_H-M_alt 'R 3 m'
_space_group_IT_number 160
_space_group_name_Hall 'R 3 -2"'
_cell_length_a 2.8279
_cell_length_b 2.8279
_cell_length_c 22.7510
_cell_angle_alpha 90.00
_cell_angle_beta 90.00
_cell_angle_gamma 120.00
loop_
_atom_site_label
_atom_site_fract_x
_atom_site_fract_y
_atom_site_fract_z
_atom_site_occupancy
Fe1 0.0000 0.0000 0.0000 1
Ni1 0.0000 0.0000 0.2501 1
Ni2 0.0000 0.0000 0.5015 1
Cl1 0.0000 0.0000 0.7462 1
# Polymorph energy (0 for the lowest one) = 0.754 eV per formula unit
# Raw formation energy = 114 kJ/mol of formula units
# Energy = -20.69 eV/f.u.